Entry 1:
PBE-GGA Pm2TlPd, relaxed; space group = P4/mmm (123)
1.0
-3.566 0.491 -0.616
-0.760 -1.399 3.287
0.444 7.189 3.163
Tl Pm Pd
1 2 1
Direct
0.500 0.500 0.500
0.000 0.000 0.777
0.000 0.000 0.223
0.500 0.500 0.000



Entry 2:
PBE-GGA Pm6TlPd3, relaxed; space group = Cmc2_1 (36)
1.0
7.240 0.000 0.000
0.000 8.835 0.383
0.000 -1.598 8.698
Pm Tl Pd
12 2 6
Direct
0.794 0.499 0.059
0.127 0.077 0.923
0.794 0.941 0.501
0.675 0.308 0.380
0.294 0.059 0.499
0.175 0.380 0.308
0.675 0.620 0.692
0.175 0.692 0.620
0.294 0.501 0.941
0.627 0.923 0.077
0.125 0.797 0.203
0.625 0.203 0.797
0.996 0.325 0.675
0.496 0.675 0.325
0.458 0.241 0.096
0.958 0.096 0.241
0.958 0.759 0.904
0.384 0.382 0.618
0.884 0.618 0.382
0.458 0.904 0.759



Entry 3:
PBE-GGA PmTl2Pd, relaxed; distance to the lowest polymorph of the same formula = 0.508 eV/atom; space group = R-3m (166)
1.0
3.471 0.000 0.000
1.735 3.006 0.000
1.735 1.002 10.516
Pd Tl Pm
1 2 1
Direct
0.500 0.500 0.500
0.899 0.899 0.304
0.101 0.101 0.696
0.000 0.000 0.000



no.,formation energy from the elements (eV/atom),theoretical density (g cm⁻³)
1,-0.57,9.507
2,-0.49,8.253
3,0.06,9.993